# CaW2O4

An optimized crystal structure of CaW2O4 (PBE with a Hubbard U, the Alexandria database). Values from VASP.

```
&SYSTEM
  ibrav = 0, nat = 14, ntyp = 3
/
ATOMIC_SPECIES
Ca 40.08 Ca.upf
W 183.84 W.upf
O 16.00 O.upf
CELL_PARAMETERS angstrom
-3.182 3.389 4.551
3.182 -3.389 4.551
3.182 3.389 -4.551
ATOMIC_POSITIONS angstrom
Ca 3.182 0.000 0.000
W -1.591 1.694 2.275
W 3.182 -1.694 3.225
O 1.563 1.694 0.095
W 0.000 5.083 1.326
O 1.619 -1.694 4.645
O 0.000 0.201 2.168
O 0.000 3.187 2.168
W 1.591 1.694 2.275
O 1.563 5.083 -0.095
O 1.619 1.694 4.456
O 3.182 0.201 2.382
Ca 0.000 0.000 4.551
O 3.182 3.187 2.382
```

Results
Energy above the most stable polymorph in this dataset: 235 meV/atom
M_tot: 0.857 μB/atom
DOS at the Fermi energy: 0.1 states/eV per cell
ρ: 7.98 g/cm³

***

# CaW2O7

An optimized crystal structure of CaW2O7 (PBE with a Hubbard U, the Alexandria database). Values from VASP.

```
&SYSTEM
  ibrav = 0, nat = 20, ntyp = 3
/
ATOMIC_SPECIES
O 16.00 O.upf
Ca 40.08 Ca.upf
W 183.84 W.upf
CELL_PARAMETERS angstrom
7.495 0.000 0.000
0.000 7.470 -0.623
0.000 1.888 6.931
ATOMIC_POSITIONS angstrom
O 0.674 8.311 4.305
Ca 6.760 0.966 2.517
O 3.083 6.153 4.259
O 2.693 2.498 -0.139
W 6.702 8.380 5.335
Ca 3.013 8.392 3.791
O 6.830 3.205 2.049
O 3.061 8.934 6.187
O 4.421 1.047 2.003
O 2.764 3.191 4.040
O 6.809 0.424 0.121
W 6.015 4.675 1.398
O 5.379 8.618 4.133
O 6.441 6.860 6.446
W 2.954 0.978 0.973
O 1.632 0.740 2.174
W 2.268 4.683 4.910
O 4.278 4.490 1.536
O 0.530 4.868 4.772
O 6.511 6.167 2.268
```

Results
E: -7.25 eV/atom
M_tot: 0.005 μB/atom
DOS at the Fermi energy: 0.0 states/eV per cell
ρ: 4.35 g/cm³

***

# CaW3O

An optimized crystal structure of CaW3O (PBE with a Hubbard U, the Alexandria database). Values from VASP.

```
&SYSTEM
  ibrav = 0, nat = 5, ntyp = 3
/
ATOMIC_SPECIES
W 183.84 W.upf
Ca 40.08 Ca.upf
O 16.00 O.upf
CELL_PARAMETERS angstrom
-2.241 2.466 2.808
-3.482 -0.189 -2.612
-1.356 -3.588 2.068
ATOMIC_POSITIONS angstrom
W -0.678 -1.794 1.034
W -1.120 1.233 1.404
Ca -3.540 -0.656 1.132
W -1.741 -0.095 -1.306
O 0.000 0.000 0.000
```

Results
Energy above the most stable polymorph in this dataset: 0 meV/atom
M_tot: 0.000 μB/atom
DOS at the Fermi energy: 2.8 states/eV per cell
ρ: 12.19 g/cm³

***

# Ca2W3O8

An optimized crystal structure of Ca2W3O8 (PBE with a Hubbard U, the Alexandria database). Values from VASP.

```
&SYSTEM
  ibrav = 0, nat = 26, ntyp = 3
/
ATOMIC_SPECIES
O 16.00 O.upf
W 183.84 W.upf
Ca 40.08 Ca.upf
CELL_PARAMETERS angstrom
6.530 0.000 0.000
-3.265 5.655 0.000
0.000 0.000 10.277
ATOMIC_POSITIONS angstrom
O 1.568 0.905 1.599
O 0.000 3.770 1.410
O -1.697 4.749 6.738
O 3.265 1.885 6.549
W 3.265 3.796 7.656
W 4.920 0.929 7.656
O 1.881 2.684 8.783
O 0.000 0.000 8.699
O 1.384 2.971 3.645
O -1.384 2.971 3.645
O 3.265 3.844 1.599
W 0.000 1.859 2.517
O 0.000 1.811 6.738
O 4.962 0.905 1.599
Ca 0.000 3.770 5.451
O 0.000 0.000 3.560
Ca 3.265 1.885 4.253
Ca 3.265 1.885 0.312
Ca 0.000 3.770 9.391
W -1.655 4.725 2.517
W 1.610 0.929 7.656
O 4.649 2.684 8.783
O 0.000 5.368 3.645
O 1.697 4.749 6.738
W 1.655 4.725 2.517
O 3.265 0.287 8.783
```

Results
Energy above the most stable polymorph in this dataset: 0 meV/atom
M_tot: 0.462 μB/atom
DOS at the Fermi energy: 0.0 states/eV per cell
ρ: 6.65 g/cm³

***

# Ca3WO6

An optimized crystal structure of Ca3WO6 (PBE with a Hubbard U, the Alexandria database). Values from VASP.

```
&SYSTEM
  ibrav = 0, nat = 10, ntyp = 3
/
ATOMIC_SPECIES
Ca 40.08 Ca.upf
O 16.00 O.upf
W 183.84 W.upf
CELL_PARAMETERS angstrom
-4.019 0.932 -4.158
-5.656 0.480 1.447
-2.687 5.192 -0.366
ATOMIC_POSITIONS angstrom
Ca -6.181 3.302 -1.539
Ca -3.091 1.651 -0.770
O -4.320 4.308 -0.914
O -8.042 2.295 -2.164
O -7.333 4.564 -0.144
O -5.901 1.799 0.051
Ca -9.271 4.952 -2.308
W 0.000 0.000 0.000
O -5.029 2.039 -2.934
O -6.461 4.805 -3.129
```

Results
E: -6.85 eV/atom
M_tot: 0.000 μB/atom
DOS at the Fermi energy: 0.0 states/eV per cell
ρ: 4.68 g/cm³

***

# CaW2O4

An optimized crystal structure of CaW2O4 (PBE with a Hubbard U, the Alexandria database). Values from VASP.

```
&SYSTEM
  ibrav = 0, nat = 14, ntyp = 3
/
ATOMIC_SPECIES
O 16.00 O.upf
Ca 40.08 Ca.upf
W 183.84 W.upf
CELL_PARAMETERS angstrom
-5.430 -2.165 3.305
0.258 -5.566 3.748
-0.307 0.358 6.699
ATOMIC_POSITIONS angstrom
O -2.217 -2.617 8.374
O -2.192 -2.949 5.501
Ca -3.458 -4.652 8.677
O -4.711 -6.339 11.823
Ca -5.477 -7.369 13.744
W -0.706 -3.529 6.949
O -4.666 -6.634 8.975
W -1.121 -1.508 2.812
W -3.559 -1.823 6.727
O -2.303 -5.470 10.540
O -1.948 -5.426 6.974
O -4.927 -3.901 10.336
O -4.646 -3.813 6.764
W -3.276 -4.794 5.247
```

Results
Energy above the most stable polymorph in this dataset: 124 meV/atom
M_tot: 0.857 μB/atom
ρ: 7.44 g/cm³

***

# Ca3W2O9

An optimized crystal structure of Ca3W2O9 (PBE with a Hubbard U, the Alexandria database). Values from VASP.

```
&SYSTEM
  ibrav = 0, nat = 56, ntyp = 3
/
ATOMIC_SPECIES
Ca 40.08 Ca.upf
O 16.00 O.upf
W 183.84 W.upf
CELL_PARAMETERS angstrom
7.823 0.000 0.000
0.000 8.681 0.000
0.000 0.000 15.756
ATOMIC_POSITIONS angstrom
Ca 0.000 4.340 7.878
Ca 5.867 2.711 14.570
O 5.867 0.969 0.231
O 5.867 6.408 11.303
O 1.956 3.371 8.109
O 7.392 7.425 13.660
O 1.956 2.273 4.452
W 1.956 7.413 9.533
O 0.463 2.197 14.663
O 5.867 1.227 4.425
O 0.431 1.256 2.095
O 1.956 7.454 11.330
O 7.392 3.084 9.973
O 1.956 3.759 1.922
Ca 5.867 7.051 9.063
Ca 5.867 6.173 5.671
O 5.867 0.582 9.800
O 5.867 5.567 3.453
Ca 3.911 4.340 7.878
Ca 1.956 6.848 13.548
W 5.867 2.230 10.537
W 1.956 6.451 5.219
O 1.956 6.613 3.425
W 1.956 3.073 14.100
O 1.956 8.099 5.956
O 7.360 6.484 1.093
O 3.449 6.537 8.970
O 3.480 1.256 2.095
O 0.463 6.537 8.970
O 5.867 8.210 6.800
Ca 3.911 0.000 0.000
W 5.867 1.267 6.223
W 1.956 2.111 2.659
O 7.360 2.143 6.785
O 0.431 5.596 5.783
O 4.343 7.425 13.660
O 5.867 3.870 1.078
Ca 0.000 0.000 0.000
O 4.374 6.484 1.093
O 5.867 4.922 13.834
O 1.956 0.470 8.956
W 5.867 6.570 13.097
O 3.480 5.596 5.783
O 5.867 5.309 7.646
Ca 1.956 1.630 6.693
W 5.867 5.608 1.655
Ca 1.956 5.970 1.185
O 3.449 2.197 14.663
Ca 5.867 1.833 2.207
O 1.956 7.712 15.524
O 4.374 2.143 6.785
O 4.343 3.084 9.973
Ca 1.956 2.507 10.085
O 1.956 3.113 12.303
O 5.867 2.068 12.330
O 1.956 4.811 14.677
```

Results
E: -7.16 eV/atom
M_tot: 0.000 μB/atom
DOS at the Fermi energy: 0.0 states/eV per cell
ρ: 3.92 g/cm³

***

# CaW2O4

An optimized crystal structure of CaW2O4 (PBE with a Hubbard U, the Alexandria database). Values from VASP.

```
&SYSTEM
  ibrav = 0, nat = 14, ntyp = 3
/
ATOMIC_SPECIES
W 183.84 W.upf
O 16.00 O.upf
Ca 40.08 Ca.upf
CELL_PARAMETERS angstrom
0.540 2.938 4.703
-2.236 -0.180 -5.099
-8.546 -4.696 3.914
ATOMIC_POSITIONS angstrom
W -6.753 -2.451 -1.566
O -5.121 -0.970 1.759
O -5.334 -0.668 4.767
W -3.490 0.512 5.084
W -0.438 2.190 3.686
O -8.552 -3.597 -1.831
Ca -7.578 -2.503 1.607
O -7.723 -1.980 5.861
O -0.848 1.379 -0.198
O -4.909 -1.271 -1.249
Ca -2.665 0.564 1.911
W -9.805 -4.129 -0.168
O -2.520 0.041 -2.343
O -1.691 1.658 5.349
```

Results
Energy above the most stable polymorph in this dataset: 59 meV/atom
M_tot: 0.857 μB/atom
DOS at the Fermi energy: 0.0 states/eV per cell
ρ: 8.58 g/cm³

***

# CaW5O7

An optimized crystal structure of CaW5O7 (PBE with a Hubbard U, the Alexandria database). Values from VASP.

```
&SYSTEM
  ibrav = 0, nat = 26, ntyp = 3
/
ATOMIC_SPECIES
O 16.00 O.upf
W 183.84 W.upf
Ca 40.08 Ca.upf
CELL_PARAMETERS angstrom
1.638 -5.488 0.000
1.638 5.488 0.000
0.000 0.000 18.800
ATOMIC_POSITIONS angstrom
O 1.638 4.597 6.868
W 1.638 0.793 2.800
O 1.638 2.180 8.504
W 0.000 0.000 0.000
O 1.638 3.279 15.619
W 1.638 2.047 10.768
W 1.638 0.793 6.601
O 1.638 -3.279 3.182
O 1.638 -4.597 11.932
W 1.638 2.047 17.432
W 1.638 -2.047 8.032
W 0.000 0.000 9.400
W 1.638 -0.793 12.200
W 1.638 -0.793 16.001
O 1.638 0.150 14.100
Ca 1.638 -3.661 14.100
O 1.638 -3.279 6.218
O 1.638 3.279 12.582
O 1.638 -0.150 4.700
O 1.638 2.180 0.896
Ca 1.638 3.661 4.700
O 1.638 -2.180 17.905
O 1.638 4.597 2.532
O 1.638 -4.597 16.268
O 1.638 -2.180 10.296
W 1.638 -2.047 1.368
```

Results
E: -6.90 eV/atom
M_tot: 0.464 μB/atom
DOS at the Fermi energy: 3.4 states/eV per cell
ρ: 10.53 g/cm³

***

# Ca3W2O9

An optimized crystal structure of Ca3W2O9 (PBE with a Hubbard U, the Alexandria database). Values from VASP.

```
&SYSTEM
  ibrav = 0, nat = 28, ntyp = 3
/
ATOMIC_SPECIES
O 16.00 O.upf
W 183.84 W.upf
Ca 40.08 Ca.upf
CELL_PARAMETERS angstrom
-6.180 0.404 4.700
2.521 -7.286 3.941
5.735 0.864 7.466
ATOMIC_POSITIONS angstrom
O -1.228 -0.811 1.671
O 1.333 -3.386 11.690
O 0.245 -4.758 6.425
O -4.399 -0.056 6.344
O 0.743 -2.632 4.418
O 4.094 -5.806 11.575
W 1.534 -3.787 5.558
W -2.628 -0.509 6.235
O 6.475 -5.962 9.764
O 1.830 -1.260 9.684
O 2.502 -2.847 6.750
O 3.303 -5.207 14.437
O -0.551 -1.104 11.494
Ca 3.807 -1.906 8.385
O 3.746 -6.481 8.698
O -0.426 -3.171 9.358
O 4.511 -3.761 9.470
Ca 1.961 -5.319 12.682
Ca 0.115 -0.699 3.426
Ca -1.732 -4.112 7.723
O -2.018 -0.212 4.533
O -1.671 0.463 7.410
O 2.626 -4.914 4.614
W 0.542 -2.231 10.551
Ca 0.000 0.000 0.000
W 4.703 -5.509 9.873
O -2.435 -2.257 6.638
Ca -3.090 0.202 2.350
```

Results
E: -7.16 eV/atom
M_tot: 0.000 μB/atom
DOS at the Fermi energy: 0.0 states/eV per cell
ρ: 3.71 g/cm³

***

# CaWO4

An optimized crystal structure of CaWO4 (PBE with a Hubbard U, the Alexandria database). Values from VASP.

```
&SYSTEM
  ibrav = 0, nat = 12, ntyp = 3
/
ATOMIC_SPECIES
O 16.00 O.upf
W 183.84 W.upf
Ca 40.08 Ca.upf
CELL_PARAMETERS angstrom
-0.857 4.875 -4.759
-6.302 2.726 -0.012
4.704 -1.189 4.858
ATOMIC_POSITIONS angstrom
O -0.231 2.881 0.429
O -2.516 4.620 -0.278
O -2.465 5.333 -4.016
W 0.134 3.743 -1.143
Ca -2.589 2.669 1.230
O -4.561 6.011 -1.899
O -1.233 2.399 3.274
W 0.000 0.000 0.000
O 1.052 0.660 3.980
O -1.171 3.271 -2.336
Ca -3.580 3.800 -2.386
O 1.304 0.472 1.193
```

Results
E: -7.32 eV/atom
M_tot: 0.000 μB/atom
DOS at the Fermi energy: 0.0 states/eV per cell
ρ: 5.87 g/cm³

***

# Ca2WO4

An optimized crystal structure of Ca2WO4 (PBE with a Hubbard U, the Alexandria database). Values from VASP.

```
&SYSTEM
  ibrav = 0, nat = 28, ntyp = 3
/
ATOMIC_SPECIES
W 183.84 W.upf
O 16.00 O.upf
Ca 40.08 Ca.upf
CELL_PARAMETERS angstrom
6.679 0.000 0.000
0.000 6.679 0.000
0.000 0.000 9.370
ATOMIC_POSITIONS angstrom
W 5.041 0.000 2.343
O 1.490 6.515 4.862
Ca 1.659 5.021 1.171
O 1.493 3.619 4.664
O 5.186 3.619 4.707
O 0.165 5.189 6.851
Ca 1.659 1.659 3.514
O 3.619 1.493 2.364
O 3.060 1.493 7.006
O 6.515 1.490 2.166
W 0.000 1.638 0.000
O 0.165 1.490 7.204
O 5.186 3.060 9.349
Ca 5.057 3.340 2.343
Ca 5.021 5.021 8.199
O 6.515 5.189 2.519
Ca 3.340 1.622 0.000
O 5.189 6.515 4.509
Ca 5.021 1.659 5.857
O 1.493 3.060 0.022
O 3.619 5.186 2.321
Ca 1.622 3.340 7.028
W 1.638 0.000 7.028
O 3.060 5.186 7.049
O 5.189 0.165 0.176
W 0.000 5.041 4.685
O 1.490 0.165 9.194
Ca 3.340 5.057 4.685
```

Results
E: -7.04 eV/atom
M_tot: 0.286 μB/atom
DOS at the Fermi energy: 0.0 states/eV per cell
ρ: 5.21 g/cm³

***

# Ca2W2O5

An optimized crystal structure of Ca2W2O5 (PBE with a Hubbard U, the Alexandria database). Values from VASP.

```
&SYSTEM
  ibrav = 0, nat = 18, ntyp = 3
/
ATOMIC_SPECIES
O 16.00 O.upf
Ca 40.08 Ca.upf
W 183.84 W.upf
CELL_PARAMETERS angstrom
3.880 0.000 0.000
0.000 5.418 0.000
0.000 0.000 11.133
ATOMIC_POSITIONS angstrom
O 1.940 1.178 4.286
O 1.940 1.531 9.853
Ca 1.940 3.516 3.826
Ca 1.940 4.611 9.393
O 1.940 4.240 6.847
O 1.940 3.887 1.281
O 0.000 4.937 3.131
O 0.000 3.190 8.698
W 0.000 3.497 0.932
O 0.000 2.709 5.567
Ca 1.940 1.902 7.307
O 0.000 2.228 2.436
W 0.000 1.921 10.201
Ca 1.940 0.807 1.740
W 0.000 0.788 4.634
O 0.000 0.000 0.000
O 0.000 0.481 8.002
W 0.000 4.630 6.499
```

Results
E: -6.84 eV/atom
M_tot: 0.000 μB/atom
ρ: 7.49 g/cm³

***

# Ca4WO2

An optimized crystal structure of Ca4WO2 (PBE with a Hubbard U, the Alexandria database). Values from VASP.

```
&SYSTEM
  ibrav = 0, nat = 7, ntyp = 3
/
ATOMIC_SPECIES
O 16.00 O.upf
Ca 40.08 Ca.upf
W 183.84 W.upf
CELL_PARAMETERS angstrom
-4.199 3.671 -1.153
-3.777 -4.259 0.195
-4.858 0.780 6.111
ATOMIC_POSITIONS angstrom
O -8.674 0.273 4.325
Ca -8.417 -0.044 2.378
Ca -2.100 1.836 -0.576
Ca -1.888 -2.129 0.098
Ca -4.418 0.237 2.776
O -4.161 -0.081 0.829
W 0.000 0.000 0.000
```

Results
E: -3.82 eV/atom
M_tot: 0.775 μB/atom
DOS at the Fermi energy: 3.4 states/eV per cell
ρ: 2.86 g/cm³

***

# Ca3WO6

An optimized crystal structure of Ca3WO6 (PBE with a Hubbard U, the Alexandria database). Values from VASP.

```
&SYSTEM
  ibrav = 0, nat = 20, ntyp = 3
/
ATOMIC_SPECIES
O 16.00 O.upf
Ca 40.08 Ca.upf
W 183.84 W.upf
CELL_PARAMETERS angstrom
-6.401 0.304 1.618
-0.622 -6.266 -2.007
1.634 -1.931 6.106
ATOMIC_POSITIONS angstrom
O -0.322 -2.146 6.051
O -4.839 -1.488 5.762
O -5.068 -5.747 -0.335
Ca -0.740 -1.416 3.708
W -2.695 -3.947 2.858
O -2.949 -2.009 3.022
Ca -1.743 -6.355 4.917
O -0.759 -3.631 2.846
O -4.630 -4.262 2.870
O -2.440 -5.885 2.694
O -2.683 -3.720 0.910
Ca -5.035 -3.905 5.196
W 0.000 0.000 0.000
O -0.551 -6.405 -0.045
Ca -3.646 -1.538 0.799
O -6.071 -1.619 1.359
O -2.706 -4.173 4.807
Ca -0.354 -3.988 0.521
Ca -4.649 -6.477 2.009
O 0.682 -6.274 4.358
```

Results
E: -7.09 eV/atom
M_tot: 0.000 μB/atom
DOS at the Fermi energy: 0.0 states/eV per cell
ρ: 4.61 g/cm³

***

# Ca2YWO

An optimized crystal structure of Ca2YWO (PBE with a Hubbard U, the Alexandria database). Values from VASP.

```
&SYSTEM
  ibrav = 0, nat = 5, ntyp = 4
/
ATOMIC_SPECIES
W 183.84 W.upf
Y 88.91 Y.upf
Ca 40.08 Ca.upf
O 16.00 O.upf
CELL_PARAMETERS angstrom
-4.141 -2.728 -3.040
-2.349 -1.645 4.675
-3.237 4.832 0.074
ATOMIC_POSITIONS angstrom
W 0.000 0.000 0.000
Y -1.174 -0.823 2.338
Ca -1.619 2.416 0.037
Ca -2.071 -1.364 -1.520
O -4.864 0.230 0.855
```

Results
E: -3.46 eV/atom
M_tot: 0.766 μB/atom
DOS at the Fermi energy: 5.7 states/eV per cell
ρ: 3.30 g/cm³